Entry 1:
# Ac3Ni5I12, relaxed, DFT PBE
data_Ac3Ni5I12
_chemical_formula_sum 'Ac24 Ni40 I96'
_cell_length_a 17.291
_cell_length_b 17.291
_cell_length_c 17.291
_cell_angle_alpha 90.00
_cell_angle_beta 90.00
_cell_angle_gamma 90.00
_space_group_name_H-M_alt 'I a -3 d'
_space_group_IT_number 230
_space_group_name_Hall '-I 4bd 2c 3'
loop_
_atom_site_label
_atom_site_fract_x
_atom_site_fract_y
_atom_site_fract_z
Ac1 0.000 0.250 0.125
Ni1 0.000 0.000 0.000
Ni2 0.000 0.250 0.375
I1 0.034 0.055 0.648
# Energy: -578.1 eV per cell
# ΔE_f (raw): -12.4 eV/f.u.
# Total magnetic moment: 3.086 μB/f.u.

***

Entry 2:
# HfGaSeN2, relaxed, DFT PBE
data_HfGaSeN2
_chemical_formula_sum 'Hf1 Ga1 Se1 N2'
_cell_length_a 3.867
_cell_length_b 3.867
_cell_length_c 4.973
_cell_angle_alpha 90.00
_cell_angle_beta 90.00
_cell_angle_gamma 90.00
_space_group_name_H-M_alt 'P 4/m m m'
_space_group_IT_number 123
_space_group_name_Hall '-P 4 2'
loop_
_atom_site_label
_atom_site_fract_x
_atom_site_fract_y
_atom_site_fract_z
Hf1 0.000 0.000 0.000
Ga1 0.500 0.500 0.500
Se1 0.500 0.500 0.000
N1 0.000 0.500 0.500
# Energy: -29.8 eV per cell
# ΔE_f (raw): 3.4 eV/f.u.
# Total magnetic moment: 0.587 μB/f.u.

***

Entry 3:
# MgIn8Ag2, relaxed, DFT PBE
data_MgIn8Ag2
_chemical_formula_sum 'Mg2 In16 Ag4'
_cell_length_a 12.972
_cell_length_b 8.841
_cell_length_c 5.360
_cell_angle_alpha 90.00
_cell_angle_beta 107.80
_cell_angle_gamma 90.00
_space_group_name_H-M_alt 'C 1 2/m 1'
_space_group_IT_number 12
_space_group_name_Hall '-C 2y'
loop_
_atom_site_label
_atom_site_fract_x
_atom_site_fract_y
_atom_site_fract_z
Mg1 0.000 0.000 0.000
In1 0.102 0.500 0.380
In2 0.111 0.294 0.904
In3 0.134 0.000 0.576
Ag1 0.222 0.000 0.147
# Calculated formation energy: 5.28 kJ per mole of atoms
# Energy: -57.2 eV per cell
# Total magnetic moment: 0.000 μB/f.u.

***

Entry 4:
# La2HoRh, relaxed, DFT PBE
data_La2HoRh
_chemical_formula_sum 'La6 Ho3 Rh3'
_cell_length_a 3.7954
_cell_length_b 3.7954
_cell_length_c 31.7909
_cell_angle_alpha 90.00
_cell_angle_beta 90.00
_cell_angle_gamma 120.00
_space_group_name_H-M_alt 'R -3 m'
_space_group_IT_number 166
_space_group_name_Hall '-R 3 2"'
loop_
_atom_site_label
_atom_site_fract_x
_atom_site_fract_y
_atom_site_fract_z
La1 0.0000 0.0000 0.1099
Ho1 0.0000 0.0000 0.0000
Rh1 0.0000 0.0000 0.5000
# Calculated formation energy: -11.67 kJ per mole of atoms
# Energy: -66.8 eV per cell
# Total magnetic moment: 0.001 μB/f.u.

***

Entry 5:
# Tb6PmNd3Tm2, relaxed, DFT PBE
data_Tb6PmNd3Tm2
_chemical_formula_sum 'Tb12 Pm2 Nd6 Tm4'
_cell_length_a 6.215
_cell_length_b 10.759
_cell_length_c 11.881
_cell_angle_alpha 90.00
_cell_angle_beta 100.01
_cell_angle_gamma 90.00
_space_group_name_H-M_alt 'C 1 2/m 1'
_space_group_IT_number 12
_space_group_name_Hall '-C 2y'
loop_
_atom_site_label
_atom_site_fract_x
_atom_site_fract_y
_atom_site_fract_z
Tb1 0.248 0.000 0.246
Tb2 0.250 0.167 0.754
Pm1 0.000 0.500 0.000
Nd1 0.000 0.000 0.500
Nd2 0.000 0.333 0.500
Tm1 0.000 0.167 0.000
# Calculated formation energy: 1.66 kJ per mole of atoms
# Energy: -111.1 eV per cell
# Total magnetic moment: 0.000 μB/f.u.

***

Entry 6:
# CuNi2B2, relaxed, DFT PBE
data_CuNi2B2
_chemical_formula_sum 'Cu2 Ni4 B4'
_cell_length_a 5.585
_cell_length_b 5.585
_cell_length_c 2.791
_cell_angle_alpha 90.00
_cell_angle_beta 90.00
_cell_angle_gamma 90.00
_space_group_name_H-M_alt 'P 4/m b m'
_space_group_IT_number 127
_space_group_name_Hall '-P 4 2ab'
loop_
_atom_site_label
_atom_site_fract_x
_atom_site_fract_y
_atom_site_fract_z
Cu1 0.000 0.000 0.000
Ni1 0.164 0.336 0.500
B1 0.118 0.618 0.000
# Calculated formation energy: -11.68 kJ per mole of atoms
# Energy: -59.2 eV per cell
# Total magnetic moment: 0.000 μB/f.u.

***

Entry 7:
# SmYGa2Pt2, relaxed, DFT PBE
data_SmYGa2Pt2
_chemical_formula_sum 'Sm1 Y1 Ga2 Pt2'
_cell_length_a 4.4771
_cell_length_b 4.4771
_cell_length_c 7.1108
_cell_angle_alpha 90.00
_cell_angle_beta 90.00
_cell_angle_gamma 120.00
_space_group_name_H-M_alt 'P -3 m 1'
_space_group_IT_number 164
_space_group_name_Hall '-P 3 2"'
loop_
_atom_site_label
_atom_site_fract_x
_atom_site_fract_y
_atom_site_fract_z
Sm1 0.0000 0.0000 0.0000
Y1 0.0000 0.0000 0.5000
Ga1 0.3333 0.6667 0.2615
Pt1 0.3333 0.6667 0.7382
# Calculated formation energy: -101.88 kJ per mole of atoms
# Energy: -35.7 eV per cell
# Total magnetic moment: 0.000 μB/f.u.

***

Entry 8:
# BeCu2Au, relaxed, DFT PBE
data_BeCu2Au
_chemical_formula_sum 'Be1 Cu2 Au1'
_cell_length_a 3.446
_cell_length_b 3.700
_cell_length_c 3.976
_cell_angle_alpha 90.00
_cell_angle_beta 90.00
_cell_angle_gamma 90.00
_space_group_name_H-M_alt 'P m m m'
_space_group_IT_number 47
_space_group_name_Hall '-P 2 2'
loop_
_atom_site_label
_atom_site_fract_x
_atom_site_fract_y
_atom_site_fract_z
Be1 0.000 0.000 0.000
Cu1 0.000 0.500 0.500
Cu2 0.500 0.000 0.500
Au1 0.500 0.500 0.000
# Calculated formation energy: -2.05 kJ per mole of atoms
# Energy: -15.3 eV per cell
# Total magnetic moment: 0.000 μB/f.u.

***

Number 1: ρ 6.4 Mg/m³, DOS at the Fermi energy 0.389 states/eV/atom. Number 2: ρ 7.9 Mg/m³, DOS at the Fermi energy 0.476 states/eV/atom. Number 3: ρ 6.6 Mg/m³, DOS at the Fermi energy 0.363 states/eV/atom. Number 4: ρ 6.9 Mg/m³, DOS at the Fermi energy 1.483 states/eV/atom. Number 5: ρ 7.9 Mg/m³, DOS at the Fermi energy 1.305 states/eV/atom. Number 6: ρ 7.7 Mg/m³, DOS at the Fermi energy 0.458 states/eV/atom. Number 7: ρ 10.3 Mg/m³, DOS at the Fermi energy 0.591 states/eV/atom. Number 8: ρ 10.9 Mg/m³, DOS at the Fermi energy 0.445 states/eV/atom.